{"formula": "Sr2NiF", "functional": "GGA+U", "state": "relaxed", "final_energy_ev_per_atom": -2.85, "volume_a3_per_cell": 209.9, "spacegroup": "I-42d", "polymorph_energy_ev_per_fu": 0.00, "lattice_angstrom": [[-3.497, 3.497, 4.291], [3.497, -3.497, 4.291], [3.497, 3.497, -4.291]], "species": ["Sr", "Sr", "Sr", "Sr", "Ni", "Ni", "F", "F"], "frac_coords": [[0.084, 0.625, 0.959], [0.375, 0.334, 0.459], [0.666, 0.125, 0.041], [0.875, 0.916, 0.541], [0.250, 0.750, 0.500], [0.500, 0.500, 0.000], [0.000, 0.000, 0.000], [0.750, 0.250, 0.500]]}